Crystalline Sr3Be2CoO6 at its relaxed geometry, computed with GGA+U.

abc: 5.5327 5.5327 6.3472
angles: 90.00 90.00 120.00
Space group P-3m1 (No. 164)
One atom of each set of equivalent atoms:
Sr 0.0000 0.0000 0.0000
Sr 0.3333 0.6667 0.6683
Be 0.3333 0.6667 0.2579
Co 0.0000 0.0000 0.5000
O 0.1750 0.3500 0.2890

Calculated values
E_tot: -74.67 eV/f.u.
mass density: 4.301 Mg/m³
crystal system: trigonal
spin magnetization: 0.2500 μB/atom